# 1
! PBE SeN2F2, relaxed; values from VASP
&SYSTEM
  ibrav = 0, nat = 5, ntyp = 3
/
ATOMIC_SPECIES
F 19.00 F.upf
Se 78.96 Se.upf
N 14.01 N.upf
ATOMIC_POSITIONS crystal
F 0.0000 0.0000 0.0000
F 0.0000 0.0000 0.5000
Se 0.5000 0.5000 0.5000
N 0.0000 0.5000 0.0000
N 0.5000 0.0000 0.0000
CELL_PARAMETERS angstrom
-0.7644 3.2203 -1.3970
-2.9259 -1.3744 -1.5673
-2.3274 0.9652 3.4985
! Crystal system: tetragonal
! Formation energy from raw total energies (eV/f.u.): 9.743
! Distance to the lowest polymorph of the same formula (meV per atom): 864



# 2
! PBE Ce2HoHf, relaxed; values from VASP
&SYSTEM
  ibrav = 0, nat = 4, ntyp = 3
/
ATOMIC_SPECIES
Hf 178.49 Hf.upf
Ce 140.12 Ce.upf
Ho 164.93 Ho.upf
ATOMIC_POSITIONS crystal
Hf 0.5000 0.5000 0.0000
Ce 0.0000 0.0000 0.7647
Ce 0.0000 0.0000 0.2353
Ho 0.5000 0.5000 0.5000
CELL_PARAMETERS angstrom
-1.0877 -0.4270 3.0791
-2.5549 -1.7355 -1.1432
5.3898 -8.4198 0.7365
! ΔH_f (0 K) (kJ/mol of formula units): 53
! Crystal system: tetragonal
! Distance to the lowest polymorph of the same formula (meV per atom): 0



# 3
! PBE PmDy12Y5, relaxed; values from VASP
&SYSTEM
  ibrav = 0, nat = 18, ntyp = 3
/
ATOMIC_SPECIES
Y 88.91 Y.upf
Dy 162.50 Dy.upf
Pm 145.00 Pm.upf
ATOMIC_POSITIONS crystal
Y 0.1673 0.6655 0.5000
Y 0.3336 0.3328 0.0000
Y 0.5000 0.0000 0.5000
Y 0.8328 0.3345 0.5000
Y 0.6664 0.6673 0.0000
Dy 0.4990 0.6672 0.5000
Dy 0.9992 0.6660 0.0000
Dy 0.6652 0.3340 0.0000
Dy 0.6675 0.0000 0.0000
Dy 0.1678 0.0000 0.5000
Dy 0.3325 0.0000 0.0000
Dy 0.8322 0.0000 0.5000
Dy 0.0008 0.3340 0.0000
Dy 0.3348 0.6660 0.0000
Dy 0.1661 0.3328 0.5000
Dy 0.5010 0.3328 0.5000
Dy 0.8339 0.6672 0.5000
Pm 0.0000 0.0000 0.0000
CELL_PARAMETERS angstrom
-0.8770 -14.8745 -2.2860
2.3852 -8.6632 5.7508
-4.6543 -0.0173 1.9033
! ΔH_f (0 K) (kJ/mol of formula units): 35
! Crystal system: orthorhombic